No. 1
# PbW2Cl

An optimized crystal structure of PbW2Cl (PBE, Alexandria).

extended XYZ file:
```
4
Lattice="-0.512 -5.232 -2.355 4.516 -1.965 -2.988 -2.445 1.666 4.943" Properties=species:S:1:pos:R:3 pbc="T T T"
Cl -0.478 -3.583 -0.042
Pb 2.037 -1.949 -0.358
W 2.079 -3.737 -2.775
W 3.927 -7.059 -5.240
```

Distance to the lowest polymorph of the same formula (eV/atom): 0.8572

No. 2
# Ac2CdPb

An optimized crystal structure of Ac2CdPb (PBE, Alexandria).

extended XYZ file:
```
4
Lattice="4.435 0.000 0.000 0.000 5.608 0.000 0.000 0.000 5.608" Properties=species:S:1:pos:R:3 pbc="T T T"
Ac 0.000 0.000 2.804
Pb 2.218 2.804 2.804
Cd 2.218 0.000 0.000
Ac 0.000 2.804 0.000
```

Calculated formation energy (meV per atom): -408

No. 3
# Pm3Sm6Tm2Mg

An optimized crystal structure of Pm3Sm6Tm2Mg (PBE, Alexandria).

extended XYZ file:
```
12
Lattice="6.237 -0.004 0.001 -3.121 5.401 0.001 -1.051 -1.819 11.593" Properties=species:S:1:pos:R:3 pbc="T T T"
Tm 0.003 3.597 0.001
Sm -1.044 1.783 2.825
Pm 1.033 1.789 5.798
Mg 0.000 0.000 0.000
Sm 3.111 1.795 8.771
Sm 0.000 3.591 8.771
Pm -2.087 3.591 5.798
Tm 3.114 1.800 0.001
Sm 2.072 3.588 2.843
Sm -0.006 -0.011 8.753
Sm 2.067 -0.014 2.825
Pm 4.154 -0.013 5.798
```

Calculated formation energy (meV per atom): 31

No. 4
# TlFe2Hg

An optimized crystal structure of TlFe2Hg (PBE, Alexandria).

extended XYZ file:
```
8
Lattice="7.345 0.000 0.000 0.000 7.345 0.000 3.673 3.673 2.869" Properties=species:S:1:pos:R:3 pbc="T T T"
Fe 9.182 9.157 2.152
Tl 0.000 0.000 0.000
Hg 3.673 7.345 1.435
Fe 5.509 5.533 2.152
Tl 7.345 3.673 1.435
Hg 3.673 3.673 0.000
Fe 5.485 1.836 0.717
Fe 1.861 5.509 0.717
```

Calculated formation energy (meV per atom): 789
Distance to the lowest polymorph of the same formula (eV/atom): 0.4080

No. 5
# Y3Ge2Os

An optimized crystal structure of Y3Ge2Os (PBE, Alexandria).

extended XYZ file:
```
24
Lattice="-3.750 1.576 -1.130 -4.848 -9.911 2.269 -1.888 3.464 11.097" Properties=species:S:1:pos:R:3 pbc="T T T"
Y -5.713 0.933 8.434
Ge -8.953 -6.316 9.079
Ge -3.755 -0.658 -0.286
Os -8.675 -4.425 10.792
Y -7.619 -7.762 2.634
Y -4.773 -5.805 3.802
Y -4.321 0.117 2.676
Y -7.631 -1.754 11.052
Ge -1.532 1.444 3.156
Y -6.165 -4.989 9.560
Y -3.809 -2.698 4.936
Os -3.919 -1.096 7.537
Y -2.599 1.068 6.170
Os -1.811 -0.446 1.443
Ge -5.283 -0.120 5.536
Y -6.677 -2.174 7.300
Ge -6.731 -4.214 12.521
Ge -5.607 -3.136 2.407
Ge -4.879 -1.736 9.829
Ge -5.203 -4.751 6.700
Y -2.866 2.890 9.601
Y -7.887 -5.939 6.066
Y -2.855 -3.118 1.184
Os -6.566 -3.776 4.699
```

Calculated formation energy (meV per atom): -653

No. 6
# PrCd12Pd4

An optimized crystal structure of PrCd12Pd4 (PBE, Alexandria).

extended XYZ file:
```
17
Lattice="8.217 0.000 0.000 -2.739 7.747 0.000 -2.739 -3.874 6.709" Properties=species:S:1:pos:R:3 pbc="T T T"
Cd 5.478 1.937 1.245
Pd 1.370 1.937 3.355
Pd 4.109 0.000 0.000
Pd -1.370 3.874 0.000
Cd 0.000 3.983 4.410
Cd 0.000 -1.827 5.654
Cd -1.016 0.719 3.355
Pd -1.370 -1.937 3.355
Cd -2.739 1.937 5.465
Cd 1.723 0.609 5.654
Cd 3.755 3.155 3.355
Cd 1.016 3.265 1.055
Cd 4.462 -1.328 4.410
Pr 0.000 0.000 0.000
Cd -1.723 5.201 2.300
Cd 2.739 5.701 1.055
Cd 2.739 -0.109 2.300
```

Calculated formation energy (meV per atom): -35

No. 7
# Li2AgIr

An optimized crystal structure of Li2AgIr (PBE, Alexandria).

extended XYZ file:
```
4
Lattice="2.670 0.000 0.000 0.000 4.582 0.000 0.000 0.000 4.582" Properties=species:S:1:pos:R:3 pbc="T T T"
Ir 1.335 0.000 2.291
Ag 1.335 2.291 0.000
Li 0.000 2.291 2.291
Li 0.000 0.000 0.000
```

Calculated formation energy (meV per atom): -19

No. 8
# Rb2UAgSe5

An optimized crystal structure of Rb2UAgSe5 (PBE, Alexandria).

extended XYZ file:
```
18
Lattice="4.205 0.000 0.000 -2.103 10.412 0.000 0.000 0.000 14.131" Properties=species:S:1:pos:R:3 pbc="T T T"
Se 2.103 4.250 12.521
Se 0.000 6.823 0.118
Se 0.000 1.596 0.605
Se 0.000 10.303 4.079
U 0.000 4.240 0.216
Rb 2.103 7.961 2.671
Se 0.000 6.099 9.058
U 2.103 6.171 7.281
Rb 0.000 2.451 9.736
Se 2.103 0.109 11.145
Ag 0.000 8.819 6.099
Ag 2.103 1.593 13.165
Se 2.103 3.589 7.183
Se 2.103 8.815 7.671
Se 0.000 6.161 5.456
Rb 2.103 7.847 11.604
Se 2.103 4.312 1.993
Rb 0.000 2.565 4.538
```

Electronic total energy (eV per atom): -4.54

No. 9
# CsTlSiTe3

An optimized crystal structure of CsTlSiTe3 (PBE, Alexandria).

extended XYZ file:
```
12
Lattice="-4.467 -4.910 3.907 -4.561 -3.550 -5.091 2.136 -9.868 -1.514" Properties=species:S:1:pos:R:3 pbc="T T T"
Cs -2.424 -4.918 -0.718
Te -1.829 -11.449 -4.205
Tl -3.427 -9.425 0.380
Te -5.113 -6.142 -3.369
Te -0.683 -8.317 -1.250
Tl -3.464 -8.903 -3.078
Si 1.827 -8.728 -1.338
Cs -4.467 -13.410 -1.980
Te -1.778 -12.186 0.671
Te -5.062 -6.879 1.507
Te -6.208 -10.012 -1.448
Si -8.718 -9.600 -1.360
```

Electronic total energy (eV per atom): -3.37

No. 10
# TmScGePd

An optimized crystal structure of TmScGePd (PBE, Alexandria).

extended XYZ file:
```
4
Lattice="-0.106 -4.552 1.618 3.898 -2.819 -0.460 2.562 -1.236 3.906" Properties=species:S:1:pos:R:3 pbc="T T T"
Sc 3.177 -4.304 2.532
Tm 0.000 0.000 0.000
Ge 1.588 -2.152 1.266
Pd 4.765 -6.456 3.798
```

Calculated formation energy (meV per atom): -810
Distance to the lowest polymorph of the same formula (eV/atom): 0.0685

No. 11
# PrPuThTl

An optimized crystal structure of PrPuThTl (PBE, Alexandria).

extended XYZ file:
```
4
Lattice="5.513 0.000 0.000 2.757 4.774 0.000 2.757 1.591 4.501" Properties=species:S:1:pos:R:3 pbc="T T T"
Pr 0.000 0.000 0.000
Tl 8.270 4.774 3.376
Th 2.757 1.591 1.125
Pu 5.513 3.183 2.251
```

Calculated formation energy (meV per atom): 153

No. 12
# Be3Zn

An optimized crystal structure of Be3Zn (PBE, Alexandria).

extended XYZ file:
```
4
Lattice="-0.418 -1.549 3.885 4.181 -0.048 0.431 -0.115 3.908 1.546" Properties=species:S:1:pos:R:3 pbc="T T T"
Be -0.209 -0.775 1.943
Be -0.057 1.954 0.773
Be 2.091 -0.024 0.216
Zn 0.000 0.000 0.000
```

Calculated formation energy (meV per atom): 1134

No. 13
# FeAs3

An optimized crystal structure of FeAs3 (PBE, Alexandria).

extended XYZ file:
```
4
Lattice="-0.842 4.434 0.447 -2.932 -1.803 -2.954 -0.467 -2.038 4.025" Properties=species:S:1:pos:R:3 pbc="T T T"
As -1.700 -1.920 0.536
Fe -0.654 1.198 2.236
As -1.887 1.316 -1.253
As 0.000 0.000 0.000
```

Calculated formation energy (meV per atom): 281
Distance to the lowest polymorph of the same formula (eV/atom): 0.2346

No. 14
# Mn2V4Si

An optimized crystal structure of Mn2V4Si (PBE, Alexandria).

extended XYZ file:
```
7
Lattice="-0.476 1.672 3.985 1.620 -3.648 1.724 6.041 1.296 2.549" Properties=species:S:1:pos:R:3 pbc="T T T"
V 3.867 0.389 2.671
V 0.810 -1.824 0.862
Si 0.000 0.000 0.000
Mn 1.914 -0.427 2.780
Mn 5.271 -0.252 5.479
V -0.238 0.836 1.993
V 3.318 -1.068 5.588
```

Electronic total energy (eV per atom): -7.84

No. 15
# MgBi3F

An optimized crystal structure of MgBi3F (PBE, Alexandria).

extended XYZ file:
```
5
Lattice="-2.115 0.785 4.591 -4.479 -1.723 -1.769 1.275 -4.751 1.400" Properties=species:S:1:pos:R:3 pbc="T T T"
F 0.000 0.000 0.000
Mg -2.659 -2.845 2.111
Bi -2.240 -0.862 -0.884
Bi 0.638 -2.376 0.700
Bi -1.057 0.392 2.295
```

Distance to the lowest polymorph of the same formula (eV/atom): 0.0000

No. 16
# La2TeRu

An optimized crystal structure of La2TeRu (PBE, Alexandria).

extended XYZ file:
```
4
Lattice="-3.254 1.723 -2.272 -3.719 -2.168 -0.439 -4.940 3.083 5.293" Properties=species:S:1:pos:R:3 pbc="T T T"
Te -5.945 1.305 1.264
La -2.861 0.515 0.367
La -4.403 2.420 4.022
Ru -4.660 -0.283 -1.781
```

Distance to the lowest polymorph of the same formula (eV/atom): 0.0112

No. 17
# NaTl3Hg

An optimized crystal structure of NaTl3Hg (PBE, Alexandria).

extended XYZ file:
```
5
Lattice="-3.823 1.731 -4.034 1.916 -4.154 -3.599 -3.949 -3.692 2.158" Properties=species:S:1:pos:R:3 pbc="T T T"
Tl -1.911 0.865 -2.017
Tl 0.958 -2.077 -1.799
Hg 0.000 0.000 0.000
Na -2.928 -3.057 -2.737
Tl -1.974 -1.846 1.079
```

Calculated formation energy (meV per atom): 219
Distance to the lowest polymorph of the same formula (eV/atom): 0.3040

No. 18
# Mn2CoRe

An optimized crystal structure of Mn2CoRe (PBE, Alexandria).

extended XYZ file:
```
4
Lattice="-7.628 3.355 0.969 -8.022 1.103 2.194 -6.978 3.108 3.468" Properties=species:S:1:pos:R:3 pbc="T T T"
Mn -5.765 1.928 1.689
Co -16.888 5.647 4.949
Re -11.303 3.780 3.312
Mn -22.615 7.562 6.627
```

Calculated formation energy (meV per atom): 184

No. 19
# LaTlPb

An optimized crystal structure of LaTlPb (PBE, Alexandria).

extended XYZ file:
```
3
Lattice="3.599 0.000 0.000 -1.799 3.116 0.000 0.000 0.000 8.382" Properties=species:S:1:pos:R:3 pbc="T T T"
Tl 1.799 1.039 5.518
Pb 0.000 2.078 2.873
La 0.000 0.000 8.373
```

Calculated formation energy (meV per atom): -147
Distance to the lowest polymorph of the same formula (eV/atom): 0.2690

No. 20
# Rb2NbReO6

An optimized crystal structure of Rb2NbReO6 (PBE, Alexandria).

extended XYZ file:
```
10
Lattice="5.555 0.000 0.000 0.000 5.555 0.000 2.777 2.777 5.900" Properties=species:S:1:pos:R:3 pbc="T T T"
O 4.077 1.478 0.000
O 4.255 4.256 5.900
Nb 0.000 0.000 0.000
Re 2.778 2.778 0.000
O 1.478 4.078 0.000
Rb 2.777 5.555 2.950
O 2.777 2.777 3.994
O 4.078 4.077 0.001
Rb 5.555 2.778 2.951
O 5.556 5.556 1.907
```

Electronic total energy (eV per atom): -7.27